Material: PrPaS
Method: DFT, PBE-GGA
State: relaxed

Lattice parameters (Å, degrees): 5.4352 5.4352 6.6678 114.13 114.13 60.00
Atoms (fractional coordinates):
S 0.2737 0.2737 0.3214
S 0.7263 0.7263 0.6786
Pa 0.5733 0.5733 0.2194
Pa 0.4267 0.4267 0.7806
Pr 0.8806 0.8806 0.1409
Pr 0.1194 0.1194 0.8591

Summary:
The calculation puts the total energy at -6.717 eV/atom. Its uncorrected formation energy is -583 meV per atom. Its crystal system is monoclinic. The calculation puts the density of states at the Fermi level at 7.0 states/eV per cell.